Density functional theory data (PBE-GGA) for Co2SbOs after structural relaxation.

CIF file:
```
data_Co2SbOs
_cell_length_a 2.8708
_cell_length_b 2.8708
_cell_length_c 24.4006
_cell_angle_alpha 90.00
_cell_angle_beta 90.00
_cell_angle_gamma 120.00
_symmetry_space_group_name_H-M 'R -3 m'
_symmetry_Int_Tables_number 166
_symmetry_space_group_name_Hall '-R 3 2"'
loop_
_atom_site_label
_atom_site_type_symbol
_atom_site_fract_x
_atom_site_fract_y
_atom_site_fract_z
Co1 Co 0.0000 0.0000 0.2481
Sb1 Sb 0.0000 0.0000 0.0000
Os1 Os 0.0000 0.0000 0.5000
```

Calculated values
Total DFT energy (no corrections): -6.87 eV per atom
Theoretical density: 12.30 g cm⁻³
Distance to the lowest polymorph of the same formula: 91.0 kJ/mol of formula units
N(E_F): 17.0 states/eV per cell
E_form (uncorrected): 201.5 kJ/mol of formula units